The following is a PBE-GGA calculation of an optimized crystal structure of Ce10Sn4C3, from the Alexandria database.

abc: 18.3382 18.3382 18.3382
angles: 164.51 164.51 21.97
Closest atoms and distances in Å follow each position.
Fractional positions:
Ce  0.0000  0.5000  0.5000  2 C 2.47
Ce  0.0691  0.0691  0.0000  2 C 2.49-2.66
Ce  0.1357  0.6357  0.5000  2 C 2.49
Ce  0.2103  0.2103  0.0000  1 C 2.42
Ce  0.3643  0.8643  0.5000  2 C 2.49
Ce  0.5000  0.0000  0.5000  2 C 2.47
Ce  0.6357  0.1357  0.5000  2 C 2.49
Ce  0.7897  0.7897  0.0000  1 C 2.42
Ce  0.8643  0.3643  0.5000  2 C 2.49
Ce  0.9309  0.9309  0.0000  2 C 2.49-2.66
Sn  0.3016  0.3016  0.0000  9 Ce 3.29-3.52
Sn  0.4323  0.4323  0.0000  12 Ce 3.47-3.50
Sn  0.5677  0.5677  0.0000  12 Ce 3.47-3.50
Sn  0.6984  0.6984  0.0000  9 Ce 3.29-3.52
C  0.0000  0.0000  0.0000  6 Ce 2.47-2.49
C  0.1430  0.1430  0.0000  6 Ce 2.42-2.66
C  0.8570  0.8570  0.0000  6 Ce 2.42-2.66

Values from the calculation:
The value obtained for the total magnetization is 7.24 μB per cell. Its symmetry is No. 139. The formation energy is -8.3 eV per formula unit.

The following is a PBE-GGA calculation of an optimized crystal structure of PuTlS4, from the Alexandria database.

abc: 7.7591 7.7591 7.9519
angles: 90.00 90.00 109.75
Closest atoms and distances in Å follow each position.
Fractional positions:
Pu  0.0047  0.9953  0.7500  6 S 2.41-2.61
Pu  0.9953  0.0047  0.2500  6 S 2.41-2.61
Tl  0.3324  0.6676  0.2500  4 S 2.99-3.20
Tl  0.6676  0.3324  0.7500  4 S 2.99-3.20
S  0.1322  0.8678  0.0058  2 Pu 2.60-2.61
S  0.1322  0.8678  0.4942  2 Pu 2.60-2.61
S  0.2661  0.2723  0.7500  1 Pu 2.41
S  0.2723  0.2661  0.2500  1 Pu 2.41
S  0.7277  0.7339  0.7500  1 Pu 2.41
S  0.7339  0.7277  0.2500  1 Pu 2.41
S  0.8678  0.1322  0.5058  2 Pu 2.60-2.61
S  0.8678  0.1322  0.9942  2 Pu 2.60-2.61

Values from the calculation:
The value obtained for the total magnetization is 2.07 μB per cell. Its symmetry is No. 63. The formation energy without anion corrections comes out at -39.1 kJ/mol of atoms.

The following is a PBE-GGA calculation of an optimized crystal structure of HoICl, from the Alexandria database.

abc: 3.9286 3.9286 7.5891
angles: 90.00 90.00 120.00
Closest atoms and distances in Å follow each position.
Fractional positions:
Ho  0.0000  0.0000  0.0000  3 Cl 2.77, 3 I 3.03
I  0.3333  0.6667  0.7350  3 Ho 3.03
Cl  0.6667  0.3333  0.2091  3 Ho 2.77

Values from the calculation:
The value obtained for the total magnetization is 0.00 μB per cell. Its symmetry is No. 156. The formation energy without anion corrections comes out at -145.2 kJ/mol of atoms.

The following is a PBE-GGA calculation of an optimized crystal structure of Tm8CSe6, from the Alexandria database.

abc: 8.2462 8.2462 5.7596
angles: 90.00 90.00 120.00
Closest atoms and distances in Å follow each position.
Fractional positions:
Tm  0.0000  0.2403  0.2574  1 C 2.42
Tm  0.0000  0.7597  0.7426  1 C 2.42
Tm  0.2403  0.0000  0.2574  1 C 2.42
Tm  0.2403  0.2403  0.7426  1 C 2.42
Tm  0.3333  0.6667  0.5000  6 Se 2.91
Tm  0.6667  0.3333  0.5000  6 Se 2.91
Tm  0.7597  0.0000  0.7426  1 C 2.42
Tm  0.7597  0.7597  0.2574  1 C 2.42
C  0.0000  0.0000  0.5000  6 Tm 2.42
Se  0.0000  0.3954  0.7503  6 Tm 2.85-3.11
Se  0.0000  0.6046  0.2497  6 Tm 2.85-3.11
Se  0.3954  0.0000  0.7503  6 Tm 2.85-3.11
Se  0.3954  0.3954  0.2497  6 Tm 2.85-3.11
Se  0.6046  0.0000  0.2497  6 Tm 2.85-3.11
Se  0.6046  0.6046  0.7503  6 Tm 2.85-3.11

Values from the calculation:
The value obtained for the total magnetization is 0.00 μB per cell. Its symmetry is No. 162. The formation energy without anion corrections comes out at -124.0 kJ/mol of atoms.